Density functional theory data (GGA-PBE) for crystalline Cs2Te10Mo9 at its relaxed geometry.

Results
As for the space group: R-3, No. 148. Its total moment is 0.005 μB per formula unit. As for the total DFT energy (no corrections): -0.2448 Ha/atom.

Cell lengths 14.506, 14.506, 14.506 Å; angles 41.77, 41.77, 41.77 degrees
Atoms (fractional coordinates):
Te (0.306, 0.931, 0.678)
Mo (0.898, 0.770, 0.070)
Te (0.946, 0.205, 0.583)
Cs (0.424, 0.424, 0.424)
Te (0.795, 0.417, 0.054)
Mo (0.102, 0.230, 0.930)
Mo (0.814, 0.988, 0.109)
Cs (0.699, 0.699, 0.699)
Te (0.694, 0.069, 0.322)
Mo (0.992, 0.698, 0.873)
Mo (0.302, 0.127, 0.008)
Mo (0.186, 0.012, 0.891)
Mo (0.127, 0.008, 0.302)
Mo (0.012, 0.891, 0.186)
Te (0.820, 0.561, 0.189)
Te (0.069, 0.322, 0.694)
Te (0.439, 0.811, 0.180)
Te (0.054, 0.795, 0.417)
Mo (0.770, 0.070, 0.898)
Mo (0.070, 0.898, 0.770)
Mo (0.873, 0.992, 0.698)
Cs (0.301, 0.301, 0.301)
Te (0.322, 0.694, 0.069)
Te (0.180, 0.439, 0.811)
Te (0.417, 0.054, 0.795)
Mo (0.109, 0.814, 0.988)
Mo (0.008, 0.302, 0.127)
Te (0.189, 0.820, 0.561)
Te (0.678, 0.306, 0.931)
Te (0.583, 0.946, 0.205)
Mo (0.930, 0.102, 0.230)
Mo (0.230, 0.930, 0.102)
Mo (0.988, 0.109, 0.814)
Te (0.811, 0.180, 0.439)
Te (0.931, 0.678, 0.306)
Te (0.797, 0.797, 0.797)
Te (0.203, 0.203, 0.203)
Cs (0.576, 0.576, 0.576)
Mo (0.698, 0.873, 0.992)
Mo (0.891, 0.186, 0.012)
Te (0.205, 0.583, 0.946)
Te (0.561, 0.189, 0.820)